1.
Computed, not measured: a relaxed TiReRu3 crystal at the PBE level of DFT.

Values from the calculation:
Size of the total moment = 0.0 μB per cell
Calculated volume = 19.86 Å³ per atom
Fermi-level density of states = 7.23 states/eV per cell

Cell lengths 4.631, 4.631, 4.631 Å; angles 90.00, 90.00, 90.00 degrees
Positions (direct):
1 Re 0.000 0.000 0.000
2 Ti 0.500 0.500 0.500
3 Ru 0.000 0.500 0.000
4 Ru 0.000 0.000 0.500
5 Ru 0.500 0.000 0.000



2.
Computed, not measured: a relaxed TiReRu3 crystal at the PBE level of DFT.

Values from the calculation:
Size of the total moment = 0.0 μB per cell
Calculated volume = 17.01 Å³ per atom
Fermi-level density of states = 12.15 states/eV per cell

Cell lengths 4.398, 4.398, 4.398 Å; angles 90.00, 90.00, 90.00 degrees
Positions (direct):
1 Re 0.500 0.500 0.500
2 Ti 0.000 0.000 0.000
3 Ru 0.000 0.500 0.000
4 Ru 0.000 0.000 0.500
5 Ru 0.500 0.000 0.000



List of relative energies, unit meV per atom: 1 0; 2 129



1.
Computed, not measured: a relaxed TlRe2Ru crystal at the PBE level of DFT.

Values from the calculation:
Size of the total moment = 0.0 μB per cell
Calculated volume = 16.56 Å³ per atom
Fermi-level density of states = 3.61 states/eV per cell

Cell lengths 5.344, 5.344, 5.344 Å; angles 146.15, 128.03, 63.47 degrees
Positions (direct):
1 Re 0.985 0.985 0.000
2 Re 0.762 0.262 0.500
3 Ru 0.505 0.505 0.000
4 Tl 0.248 0.748 0.500



2.
Computed, not measured: a relaxed TlRe2Ru crystal at the PBE level of DFT.

Values from the calculation:
Size of the total moment = 1.8 μB per cell
Calculated volume = 16.48 Å³ per atom
Fermi-level density of states = 4.91 states/eV per cell

Cell lengths 4.535, 4.535, 4.535 Å; angles 60.00, 60.00, 60.00 degrees
Each line ends with the local moment (μB).
Positions (direct):
1 Re 0.250 0.250 0.250  0.20
2 Re 0.750 0.750 0.750  0.20
3 Tl 0.500 0.500 0.500  0.05
4 Ru 0.000 0.000 0.000  1.21



3.
Computed, not measured: a relaxed TlRe2Ru crystal at the PBE level of DFT.

Values from the calculation:
Size of the total moment = 0.0 μB per cell
Calculated volume = 16.33 Å³ per atom
Fermi-level density of states = 3.64 states/eV per cell

Cell lengths 4.521, 4.521, 4.521 Å; angles 60.00, 60.00, 60.00 degrees
Positions (direct):
1 Re 0.000 0.000 0.000
2 Re 0.250 0.250 0.250
3 Ru 0.500 0.500 0.500
4 Tl 0.750 0.750 0.750



List of relative energies, unit meV per atom: 1 30; 2 249; 3 0



1.
Computed, not measured: a relaxed TlRe2Ru crystal at the PBE level of DFT.

Values from the calculation:
Size of the total moment = 0.0 μB per cell
Calculated volume = 16.53 Å³ per atom
Fermi-level density of states = 5.04 states/eV per cell

Cell lengths 2.882, 2.882, 7.965 Å; angles 90.00, 90.00, 90.00 degrees
Positions (direct):
1 Re 0.000 0.000 0.031
2 Re 0.500 0.500 0.253
3 Ru 0.000 0.000 0.473
4 Tl 0.500 0.500 0.744



2.
Computed, not measured: a relaxed TlRe2Ru crystal at the PBE level of DFT.

Values from the calculation:
Size of the total moment = 0.0 μB per cell
Calculated volume = 16.55 Å³ per atom
Fermi-level density of states = 1.98 states/eV per cell

Cell lengths 9.510, 9.510, 9.510 Å; angles 17.28, 17.28, 17.28 degrees
Positions (direct):
1 Re 0.992 0.992 0.992
2 Re 0.508 0.508 0.508
3 Ru 0.250 0.250 0.250
4 Tl 0.750 0.750 0.750



3.
Computed, not measured: a relaxed TlRe2Ru crystal at the PBE level of DFT.

Values from the calculation:
Size of the total moment = 0.0 μB per cell
Calculated volume = 18.56 Å³ per atom
Fermi-level density of states = 10.54 states/eV per cell

Cell lengths 7.532, 7.532, 5.934 Å; angles 50.61, 50.61, 90.00 degrees
Positions (direct):
1 Re 0.570 0.125 0.250
2 Re 0.180 0.625 0.250
3 Re 0.375 0.430 0.750
4 Re 0.875 0.820 0.750
5 Tl 0.000 0.000 0.000
6 Tl 0.750 0.250 0.500
7 Ru 0.500 0.500 0.000
8 Ru 0.250 0.750 0.500



4.
Computed, not measured: a relaxed TlRe2Ru crystal at the PBE level of DFT.

Values from the calculation:
Size of the total moment = 0.0 μB per cell
Calculated volume = 16.42 Å³ per atom
Fermi-level density of states = 4.00 states/eV per cell

Cell lengths 5.029, 5.029, 4.802 Å; angles 79.07, 79.07, 33.48 degrees
Positions (direct):
1 Re 0.016 0.016 0.969
2 Re 0.484 0.484 0.531
3 Ru 0.750 0.750 0.750
4 Tl 0.250 0.250 0.250



List of relative energies, unit meV per atom: 1 0; 2 153; 3 719; 4 165



1.
Computed, not measured: a relaxed TlRe2Ru crystal at the PBE level of DFT.

Values from the calculation:
Size of the total moment = 0.0 μB per cell
Calculated volume = 16.39 Å³ per atom
Fermi-level density of states = 4.56 states/eV per cell

Cell lengths 5.049, 5.049, 2.876 Å; angles 90.00, 90.00, 116.62 degrees
Positions (direct):
1 Re 0.000 0.000 0.000
2 Re 0.500 0.500 0.000
3 Ru 0.500 0.000 0.500
4 Tl 0.000 0.500 0.500



2.
Computed, not measured: a relaxed TlRe2Ru crystal at the PBE level of DFT.

Values from the calculation:
Size of the total moment = 0.0 μB per cell
Calculated volume = 16.88 Å³ per atom
Fermi-level density of states = 4.34 states/eV per cell

Cell lengths 4.037, 2.835, 6.543 Å; angles 64.35, 90.00, 90.00 degrees
Positions (direct):
1 Re 0.000 0.953 0.046
2 Re 0.000 0.547 0.454
3 Ru 0.500 0.250 0.250
4 Tl 0.500 0.750 0.750



3.
Computed, not measured: a relaxed TlRe2Ru crystal at the PBE level of DFT.

Values from the calculation:
Size of the total moment = 0.0 μB per cell
Calculated volume = 16.68 Å³ per atom
Fermi-level density of states = 3.44 states/eV per cell

Cell lengths 4.832, 4.832, 5.069 Å; angles 79.67, 79.67, 35.02 degrees
Positions (direct):
1 Re 0.013 0.013 0.941
2 Re 0.754 0.754 0.774
3 Ru 0.486 0.486 0.518
4 Tl 0.247 0.247 0.267



List of relative energies, unit meV per atom: 1 214; 2 29; 3 0



1.
Computed, not measured: a relaxed TlRe2Ru crystal at the PBE level of DFT.

Values from the calculation:
Size of the total moment = 0.0 μB per cell
Calculated volume = 16.21 Å³ per atom
Fermi-level density of states = 3.29 states/eV per cell

Cell lengths 5.171, 5.171, 5.171 Å; angles 136.43, 136.43, 63.31 degrees
Positions (direct):
1 Re 0.000 0.000 0.000
2 Re 0.500 0.500 0.000
3 Ru 0.250 0.750 0.500
4 Tl 0.750 0.250 0.500



2.
Computed, not measured: a relaxed TlRe2Ru crystal at the PBE level of DFT.

Values from the calculation:
Size of the total moment = 0.0 μB per cell
Calculated volume = 16.49 Å³ per atom
Fermi-level density of states = 5.62 states/eV per cell

Cell lengths 4.773, 4.773, 2.896 Å; angles 90.00, 90.00, 90.00 degrees
Positions (direct):
1 Re 0.000 0.000 0.000
2 Re 0.500 0.500 0.000
3 Ru 0.500 0.000 0.500
4 Tl 0.000 0.500 0.500



List of relative energies, unit meV per atom: 1 0; 2 341



1.
Computed, not measured: a relaxed TlRe2Ru crystal at the PBE level of DFT.

Values from the calculation:
Size of the total moment = 0.1 μB per cell
Calculated volume = 16.85 Å³ per atom
Fermi-level density of states = 5.06 states/eV per cell

Cell lengths 2.838, 2.838, 9.423 Å; angles 90.00, 90.00, 117.34 degrees
Each line ends with the local moment (μB).
Positions (direct):
1 Re 0.000 0.000 0.022  0.01
2 Re 0.500 0.500 0.252  0.00
3 Ru 0.000 0.000 0.482  0.12
4 Tl 0.500 0.500 0.744  0.00



2.
Computed, not measured: a relaxed TlRe2Ru crystal at the PBE level of DFT.

Values from the calculation:
Size of the total moment = 0.0 μB per cell
Calculated volume = 16.16 Å³ per atom
Fermi-level density of states = 5.49 states/eV per cell

Cell lengths 4.897, 4.897, 4.897 Å; angles 131.41, 131.41, 71.17 degrees
Positions (direct):
1 Re 0.000 0.000 0.000
2 Re 0.250 0.750 0.500
3 Ru 0.500 0.500 0.000
4 Tl 0.750 0.250 0.500



List of relative energies, unit meV per atom: 1 0; 2 63